Compound: Pr4NdHoSe8
Source: the Alexandria database
Functional: PBE-GGA
Structure: relaxed

Cell: 8.6967 8.6967 8.6967 Å, 60.05 60.05 60.05°
Sites, in units of the cell vectors:
Pr (0.0000, 0.0000, 0.0000)
Pr (0.3776, 0.3776, 0.8683)
Pr (0.3776, 0.8683, 0.3776)
Pr (0.8683, 0.3776, 0.3776)
Nd (0.3776, 0.3776, 0.3776)
Ho (0.7504, 0.7504, 0.7504)
Se (0.1336, 0.1336, 0.1336)
Se (0.1336, 0.6214, 0.6214)
Se (0.1351, 0.1351, 0.5990)
Se (0.1351, 0.5990, 0.1351)
Se (0.5990, 0.1351, 0.1351)
Se (0.6214, 0.1336, 0.6214)
Se (0.6214, 0.6214, 0.1337)
Se (0.6229, 0.6229, 0.6229)

## Properties
Its space group is No. 160. The total energy comes out at -80.47 eV per cell. The calculation puts the density of states at the Fermi level at 8.061 states/eV/f.u.